A geometry-optimized SbAu2C structure, computed with GGA-PBEsol.

Summary:
The calculation puts the energy relative to the elements, uncorrected at 5.48 eV per formula unit.

Cell and atoms, written as POSCAR:
```
SbAu2C
1.0
6.461 0.000 0.000
0.000 6.461 0.000
0.000 0.000 6.461
Sb Au C
4 8 4
Direct
0.000 0.000 0.000 Sb
0.000 0.500 0.500 Sb
0.500 0.000 0.500 Sb
0.500 0.500 0.000 Sb
0.250 0.250 0.250 Au
0.250 0.250 0.750 Au
0.250 0.750 0.250 Au
0.250 0.750 0.750 Au
0.750 0.250 0.250 Au
0.750 0.250 0.750 Au
0.750 0.750 0.250 Au
0.750 0.750 0.750 Au
0.000 0.000 0.500 C
0.000 0.500 0.000 C
0.500 0.000 0.000 C
0.500 0.500 0.500 C
```

---

A geometry-optimized AgPtF2 structure, computed with GGA-PBEsol.

Summary:
The calculation puts the energy relative to the elements, uncorrected at -0.44 eV per formula unit.

Cell and atoms, written as POSCAR:
```
AgPtF2
1.0
5.898 0.000 0.000
0.000 5.898 0.000
0.000 0.000 5.898
Ag Pt F
4 4 8
Direct
0.000 0.000 0.000 Ag
0.000 0.500 0.500 Ag
0.500 0.000 0.500 Ag
0.500 0.500 0.000 Ag
0.000 0.000 0.500 Pt
0.000 0.500 0.000 Pt
0.500 0.000 0.000 Pt
0.500 0.500 0.500 Pt
0.250 0.250 0.250 F
0.250 0.250 0.750 F
0.250 0.750 0.250 F
0.250 0.750 0.750 F
0.750 0.250 0.250 F
0.750 0.250 0.750 F
0.750 0.750 0.250 F
0.750 0.750 0.750 F
```

---

A geometry-optimized LiYMg30O32 structure, computed with GGA-PBEsol.

Summary:
The calculation puts the energy relative to the elements, uncorrected at -175.40 eV per formula unit.

Cell and atoms, written as POSCAR:
```
LiYMg30O32
1.0
8.469 0.000 0.000
0.000 8.469 0.000
0.000 0.000 8.476
Li Y Mg O
1 1 30 32
Direct
0.000 0.000 0.000 Li
0.000 0.000 0.500 Y
0.000 0.252 0.240 Mg
0.000 0.252 0.760 Mg
0.000 0.500 0.000 Mg
0.000 0.500 0.500 Mg
0.000 0.748 0.240 Mg
0.000 0.748 0.760 Mg
0.248 0.248 0.000 Mg
0.248 0.752 0.000 Mg
0.250 0.500 0.248 Mg
0.250 0.500 0.752 Mg
0.252 0.000 0.240 Mg
0.252 0.000 0.760 Mg
0.255 0.255 0.500 Mg
0.255 0.745 0.500 Mg
0.500 0.000 0.000 Mg
0.500 0.000 0.500 Mg
0.500 0.250 0.248 Mg
0.500 0.250 0.752 Mg
0.500 0.500 0.000 Mg
0.500 0.500 0.500 Mg
0.500 0.750 0.248 Mg
0.500 0.750 0.752 Mg
0.745 0.255 0.500 Mg
0.745 0.745 0.500 Mg
0.748 0.000 0.240 Mg
0.748 0.000 0.760 Mg
0.750 0.500 0.248 Mg
0.750 0.500 0.752 Mg
0.752 0.248 0.000 Mg
0.752 0.752 0.000 Mg
0.000 0.000 0.243 O
0.000 0.000 0.757 O
0.000 0.258 0.000 O
0.000 0.259 0.500 O
0.000 0.500 0.251 O
0.000 0.500 0.749 O
0.000 0.741 0.500 O
0.000 0.742 0.000 O
0.250 0.250 0.251 O
0.250 0.250 0.749 O
0.250 0.750 0.251 O
0.250 0.750 0.749 O
0.251 0.500 0.000 O
0.251 0.500 0.500 O
0.258 0.000 0.000 O
0.259 0.000 0.500 O
0.500 0.000 0.251 O
0.500 0.000 0.749 O
0.500 0.251 0.000 O
0.500 0.251 0.500 O
0.500 0.500 0.251 O
0.500 0.500 0.749 O
0.500 0.749 0.000 O
0.500 0.749 0.500 O
0.741 0.000 0.500 O
0.742 0.000 0.000 O
0.749 0.500 0.000 O
0.749 0.500 0.500 O
0.750 0.250 0.251 O
0.750 0.250 0.749 O
0.750 0.750 0.251 O
0.750 0.750 0.749 O
```

---

A geometry-optimized LaHfMn3 structure, computed with GGA-PBEsol.

Summary:
The calculation puts the calculated formation energy at 0.96 eV/atom.

Cell and atoms, written as POSCAR:
```
LaHfMn3
1.0
4.779 0.000 0.000
0.000 4.779 0.000
0.000 0.000 4.779
La Hf Mn
1 1 3
Direct
0.000 0.000 0.000 La
0.500 0.500 0.500 Hf
0.000 0.500 0.500 Mn
0.500 0.000 0.500 Mn
0.500 0.500 0.000 Mn
```

---

A geometry-optimized MgMnSi2 structure, computed with GGA-PBEsol.

Summary:
The calculation puts the energy relative to the elements, uncorrected at -0.68 eV per formula unit.

Cell and atoms, written as POSCAR:
```
MgMnSi2
1.0
2.878 0.000 0.000
0.000 2.878 0.000
0.000 0.000 6.648
Mg Mn Si
1 1 2
Direct
0.000 0.000 0.000 Mg
0.000 0.000 0.500 Mn
0.500 0.500 0.309 Si
0.500 0.500 0.691 Si
```

---

A geometry-optimized HfNb3Ge structure, computed with GGA-PBEsol.

Summary:
The calculation puts the calculated formation energy at 1.67 eV/atom.

Cell and atoms, written as POSCAR:
```
HfNb3Ge
1.0
4.827 0.000 0.000
0.000 4.827 0.000
0.000 0.000 4.827
Hf Nb Ge
1 3 1
Direct
0.000 0.000 0.000 Hf
0.000 0.000 0.500 Nb
0.000 0.500 0.000 Nb
0.500 0.000 0.000 Nb
0.500 0.500 0.500 Ge
```

---

A geometry-optimized SiNi2Pt structure, computed with GGA-PBEsol.

Summary:
The calculation puts the energy relative to the elements, uncorrected at -1.89 eV per formula unit.

Cell and atoms, written as POSCAR:
```
SiNi2Pt
1.0
3.684 0.000 0.000
0.000 3.684 0.000
0.000 0.000 6.940
Si Ni Pt
2 4 2
Direct
0.000 0.000 0.000 Si
0.500 0.500 0.500 Si
0.000 0.000 0.500 Ni
0.000 0.500 0.250 Ni
0.500 0.000 0.750 Ni
0.500 0.500 0.000 Ni
0.000 0.500 0.750 Pt
0.500 0.000 0.250 Pt
```

---

A geometry-optimized ZrIN2O structure, computed with GGA-PBEsol.

Summary:
The calculation puts the energy relative to the elements, uncorrected at 0.14 eV per formula unit.

Cell and atoms, written as POSCAR:
```
ZrIN2O
1.0
4.362 0.000 0.000
0.000 4.362 0.000
0.000 0.000 3.962
Zr I N O
1 1 2 1
Direct
0.000 0.000 0.000 Zr
0.500 0.500 0.500 I
0.000 0.500 0.000 N
0.500 0.000 0.000 N
0.000 0.000 0.500 O
```

---

A geometry-optimized ZrNiAu2 structure, computed with GGA-PBEsol.

Summary:
The calculation puts the calculated formation energy at -0.43 eV/atom.

Cell and atoms, written as POSCAR:
```
ZrNiAu2
1.0
4.060 0.000 0.000
0.000 4.060 0.000
0.000 0.000 7.833
Zr Ni Au
2 2 4
Direct
0.000 0.000 0.000 Zr
0.500 0.500 0.500 Zr
0.000 0.500 0.750 Ni
0.500 0.000 0.250 Ni
0.000 0.000 0.500 Au
0.000 0.500 0.250 Au
0.500 0.000 0.750 Au
0.500 0.500 0.000 Au
```

---

A geometry-optimized Zn2W structure, computed with GGA-PBEsol.

Summary:
The calculation puts the calculated formation energy at 0.35 eV/atom.

Cell and atoms, written as POSCAR:
```
Zn2W
1.0
4.231 0.000 0.000
-2.116 3.665 0.000
0.000 0.000 2.729
Zn W
2 1
Direct
0.333 0.667 0.000 Zn
0.667 0.333 0.000 Zn
0.000 0.000 0.500 W
```

---

A geometry-optimized YCo2As structure, computed with GGA-PBEsol.

Summary:
The calculation puts the calculated formation energy at -0.12 eV/atom.

Cell and atoms, written as POSCAR:
```
YCo2As
1.0
3.737 0.000 0.000
0.000 3.737 0.000
0.000 0.000 8.463
Y Co As
2 4 2
Direct
0.000 0.000 0.000 Y
0.500 0.500 0.500 Y
0.000 0.000 0.500 Co
0.000 0.500 0.750 Co
0.500 0.000 0.250 Co
0.500 0.500 0.000 Co
0.000 0.500 0.250 As
0.500 0.000 0.750 As
```

---

A geometry-optimized CaCu2Se structure, computed with GGA-PBEsol.

Summary:
The calculation puts the energy relative to the elements, uncorrected at -0.99 eV per formula unit.

Cell and atoms, written as POSCAR:
```
CaCu2Se
1.0
3.850 0.000 0.000
0.000 3.944 0.000
0.000 0.000 9.292
Ca Cu Se
2 4 2
Direct
0.000 0.000 0.000 Ca
0.500 0.500 0.500 Ca
0.000 0.500 0.248 Cu
0.000 0.500 0.752 Cu
0.500 0.000 0.252 Cu
0.500 0.000 0.748 Cu
0.000 0.000 0.500 Se
0.500 0.500 0.000 Se
```

---

The calculated total energy results, record by record, are as follows: -66.270; -58.258; -403.677; -40.328; -23.656; -39.561; -53.827; -33.020; -49.595; -15.928; -55.800; -31.285 eV per cell.